No. 1
This record from Alexandria via LeMat-Bulk describes a relaxed structure of NaLi2MgTl5. The functional is PBE.

a = 7.8830 Å, b = 7.8830 Å, c = 9.2969 Å
α = 115.08°, β = 115.08°, γ = 90.00°
Fractional coordinates of all 18 atoms:
Mg 0.2500 0.7500 0.5000
Mg 0.7500 0.2500 0.5000
Li 0.6167 0.1167 0.0000
Li 0.8833 0.6167 0.0000
Li 0.3833 0.8833 0.0000
Li 0.1167 0.3833 0.0000
Tl 0.8386 0.9219 0.2605
Tl 0.5000 0.5000 0.0000
Tl 0.9219 0.4219 0.2605
Tl 0.0781 0.5781 0.7395
Tl 0.6614 0.1614 0.7395
Tl 0.3386 0.8386 0.2605
Tl 0.1614 0.0781 0.7395
Tl 0.4219 0.3386 0.2605
Tl 0.0000 0.0000 0.0000
Tl 0.5781 0.6614 0.7395
Na 0.7500 0.7500 0.5000
Na 0.2500 0.2500 0.5000

crystal system = tetragonal
formation enthalpy at 0 K = -57 meV/atom

=====

No. 2
This record from Alexandria via LeMat-Bulk describes a relaxed structure of HoSnIrPd. The functional is PBE.

a = 4.7464 Å, b = 4.7464 Å, c = 4.7464 Å
α = 60.00°, β = 60.00°, γ = 60.00°
Fractional coordinates of all 4 atoms:
Ho 0.7500 0.7500 0.7500
Ir 0.5000 0.5000 0.5000
Pd 0.0000 0.0000 0.0000
Sn 0.2500 0.2500 0.2500

crystal system = cubic
formation enthalpy at 0 K = -707 meV/atom

=====

No. 3
This record from Alexandria via LeMat-Bulk describes a relaxed structure of Te2CI. The functional is PBE.

a = 5.1753 Å, b = 5.1753 Å, c = 5.1753 Å
α = 60.00°, β = 60.00°, γ = 60.00°
Fractional coordinates of all 4 atoms:
Te 0.7500 0.7500 0.7500
Te 0.2500 0.2500 0.2500
C 0.0000 0.0000 0.0000
I 0.5000 0.5000 0.5000

formation energy from raw total energies = 1915 meV/atom
crystal system = cubic
distance to the lowest polymorph of the same formula = 1018 meV/atom

=====

No. 4
This record from Alexandria via LeMat-Bulk describes a relaxed structure of TcSeBr2O. The functional is PBE.

a = 4.8134 Å, b = 4.8134 Å, c = 4.4660 Å
α = 90.00°, β = 90.00°, γ = 90.00°
Site moments in Bohr magnetons follow the coordinates.
Fractional coordinates of all 5 atoms:
Br 0.5000 0.0000 0.0000  0.11
Br 0.0000 0.5000 0.0000  0.11
O 0.0000 0.0000 0.0000  -0.01
Tc 0.5000 0.5000 0.5000  3.95
Se 0.0000 0.0000 0.5000  0.14

formation energy from raw total energies = 956 meV/atom
crystal system = tetragonal
distance to the lowest polymorph of the same formula = 171 meV/atom

=====

No. 5
This record from Alexandria via LeMat-Bulk describes a relaxed structure of Cd4InSn. The functional is PBE.

a = 5.9832 Å, b = 5.9832 Å, c = 5.9832 Å
α = 60.00°, β = 60.00°, γ = 60.00°
Fractional coordinates of all 6 atoms:
In 0.2500 0.2500 0.2500
Sn 0.0000 0.0000 0.0000
Cd 0.6251 0.1246 0.6251
Cd 0.6251 0.6251 0.1246
Cd 0.6251 0.6251 0.6251
Cd 0.1247 0.6251 0.6251

crystal system = cubic
formation enthalpy at 0 K = 75 meV/atom
distance to the lowest polymorph of the same formula = 37 meV/atom

=====

No. 6
This record from Alexandria via LeMat-Bulk describes a relaxed structure of TbSm4Pb4. The functional is PBE.

a = 6.4472 Å, b = 9.6351 Å, c = 9.6351 Å
α = 90.00°, β = 90.00°, γ = 90.00°
Fractional coordinates of all 18 atoms:
Pb 0.1251 0.9004 0.7175
Pb 0.6251 0.2175 0.5996
Pb 0.6251 0.7825 0.4004
Pb 0.3749 0.4004 0.2175
Pb 0.3749 0.5996 0.7825
Pb 0.1251 0.0996 0.2825
Pb 0.8749 0.2825 0.9004
Pb 0.8749 0.7175 0.0996
Sm 0.3815 0.7204 0.0836
Sm 0.3815 0.2796 0.9164
Sm 0.6185 0.9164 0.7204
Sm 0.1185 0.7796 0.4164
Sm 0.8815 0.4164 0.2204
Sm 0.8815 0.5836 0.7796
Sm 0.6185 0.0836 0.2796
Sm 0.1185 0.2204 0.5836
Tb 0.0000 0.0000 0.0000
Tb 0.5000 0.5000 0.5000

crystal system = tetragonal
formation enthalpy at 0 K = -282 meV/atom